No. 1
The following is a DFT calculation (PBE) of crystalline TcTe2 at its relaxed geometry.

Cell lengths 4.1625, 7.3125, 9.1152 Å; angles 90.00, 90.00, 90.00 degrees
Last column: nearest neighbours and their distance in Å.
Fractional coordinates of all 12 atoms:
Te: 0.2500 0.9879 0.8637  3 Tc 2.71-2.72
Te: 0.7500 0.5121 0.3637  3 Tc 2.71-2.72
Te: 0.2500 0.4879 0.6363  3 Tc 2.71-2.72
Te: 0.7500 0.0121 0.1363  3 Tc 2.71-2.72
Te: 0.2500 0.1248 0.3959  4 Tc 2.81-3.00
Te: 0.7500 0.3752 0.8959  4 Tc 2.81-3.00
Te: 0.2500 0.6248 0.1041  4 Tc 2.81-3.00
Te: 0.7500 0.8752 0.6041  4 Tc 2.81-3.00
Tc: 0.2500 0.7417 0.4197  7 Te 2.71-3.00
Tc: 0.7500 0.7583 0.9197  7 Te 2.71-3.00
Tc: 0.2500 0.2417 0.0803  7 Te 2.71-3.00
Tc: 0.7500 0.2583 0.5803  7 Te 2.71-3.00

Results
Total magnetic moment ... 0.00 μB per cell
Formation energy without anion corrections ... 0.181 eV per atom
Space group ... Pnma

***

No. 2
The following is a DFT calculation (PBE) of crystalline NaCuBW2 at its relaxed geometry.

Cell lengths 4.7325, 3.7121, 4.7325 Å; angles 90.00, 90.00, 90.00 degrees
Last column: nearest neighbours and their distance in Å.
Fractional coordinates of all 5 atoms:
Na: 0.5000 0.5000 0.5000  8 W 3.01, 4 B 3.35
B: 0.0000 0.5000 0.0000  2 Cu 1.86
Cu: 0.0000 0.0000 0.0000  2 B 1.86
W: 0.0000 0.0000 0.5000  2 Cu 2.37
W: 0.5000 0.0000 0.0000  2 Cu 2.37

Results
Total magnetic moment ... 1.21 μB per cell
Space group ... P4/mmm
Calculated formation energy ... 2001 meV/atom

***

No. 3
The following is a DFT calculation (PBE) of crystalline Sr4CdN at its relaxed geometry.

Cell lengths 5.2929, 7.6076, 10.7323 Å; angles 90.00, 104.28, 90.00 degrees
Last column: nearest neighbours and their distance in Å.
Fractional coordinates of all 12 atoms:
Sr: 0.1746 0.5071 0.3491  1 N 2.50
Sr: 0.8254 0.4929 0.6509  1 N 2.50
Sr: 0.1746 0.9929 0.3491  1 N 2.50
Sr: 0.8254 0.0071 0.6509  1 N 2.50
Sr: 0.5847 0.7500 0.1694  2 N 2.65
Sr: 0.4153 0.2500 0.8306  2 N 2.65
Sr: 0.0000 0.5000 0.0000  2 N 2.73
Sr: 0.0000 0.0000 0.0000  2 N 2.73
Cd: 0.4035 0.7500 0.8071  11 Sr 3.67-3.83
Cd: 0.5965 0.2500 0.1929  11 Sr 3.67-3.83
N: 0.0939 0.7500 0.1878  6 Sr 2.50-2.73
N: 0.9061 0.2500 0.8122  6 Sr 2.50-2.73

Results
Total magnetic moment ... 0.55 μB per cell
Formation energy without anion corrections ... -0.334 eV per atom
Space group ... Cmcm

***

No. 4
The following is a DFT calculation (PBE) of crystalline HfCdPb3 at its relaxed geometry.

Cell lengths 5.6666, 5.6666, 5.6666 Å; angles 90.00, 90.00, 90.00 degrees
Last column: nearest neighbours and their distance in Å.
Fractional coordinates of all 5 atoms:
Pb: 0.0000 0.5000 0.0000  2 Hf 2.83
Pb: 0.0000 0.0000 0.5000  2 Hf 2.83
Pb: 0.5000 0.0000 0.0000  2 Hf 2.83
Hf: 0.0000 0.0000 0.0000  6 Pb 2.83
Cd: 0.5000 0.5000 0.5000  12 Pb 4.01

Results
Total magnetic moment ... 0.00 μB per cell
Space group ... Pm-3m
Calculated formation energy ... 400 meV/atom

***

No. 5
The following is a DFT calculation (PBE) of crystalline ReMo6W5 at its relaxed geometry.

Cell lengths 4.4840, 6.3556, 7.7411 Å; angles 114.24, 106.84, 90.00 degrees
Last column: nearest neighbours and their distance in Å.
Fractional coordinates of all 12 atoms:
Re: 0.0000 0.0000 0.0000  8 Mo 2.74-2.75
Mo: 0.8336 0.5835 0.6672  7 W 2.74-2.75, 1 Re 2.74
Mo: 0.8336 0.0837 0.6672  7 W 2.74-2.75, 1 Re 2.74
Mo: 0.5000 0.7498 0.0000  6 W 2.73-2.75, 2 Re 2.75
Mo: 0.5000 0.2502 0.0000  6 W 2.73-2.75, 2 Re 2.75
Mo: 0.1664 0.9163 0.3328  7 W 2.74-2.75, 1 Re 2.74
Mo: 0.1664 0.4165 0.3328  7 W 2.74-2.75, 1 Re 2.74
W: 0.6656 0.1656 0.3312  8 Mo 2.73-2.75
W: 0.3329 0.3329 0.6657  8 Mo 2.74-2.75
W: 0.0000 0.5000 0.0000  8 Mo 2.74-2.75
W: 0.6671 0.6671 0.3343  8 Mo 2.74-2.75
W: 0.3344 0.8344 0.6688  8 Mo 2.73-2.75

Results
Total magnetic moment ... 0.00 μB per cell
Space group ... Immm
Calculated formation energy ... 3 meV/atom

***

No. 6
The following is a DFT calculation (PBE) of crystalline Th5Co2Pd2 at its relaxed geometry.

Cell lengths 6.4870, 7.0547, 10.5658 Å; angles 109.50, 107.88, 90.00 degrees
Last column: nearest neighbours and their distance in Å.
Fractional coordinates of all 18 atoms:
Th: 0.2569 0.6445 0.8516  2 Co 2.68-2.98
Th: 0.7431 0.7930 0.1484  2 Co 2.68-2.98
Th: 0.0946 0.1445 0.8516  2 Co 2.68-2.98
Th: 0.9054 0.2930 0.1484  2 Co 2.68-2.98
Th: 0.3096 0.0165 0.3208  2 Pd 2.80-2.86, 2 Co 2.80-2.89
Th: 0.6904 0.6957 0.6792  2 Pd 2.80-2.86, 2 Co 2.80-2.89
Th: 0.5112 0.5165 0.3208  2 Pd 2.80-2.86, 2 Co 2.80-2.89
Th: 0.4888 0.1957 0.6792  2 Pd 2.80-2.86, 2 Co 2.80-2.89
Th: 0.0838 0.7278 0.5000  2 Co 2.66-2.85
Th: 0.9162 0.2278 0.5000  2 Co 2.66-2.85
Co: 0.0000 0.9335 0.0000  4 Th 2.68-2.98, 4 Pd 2.81-2.99
Co: 0.5000 0.4335 0.0000  4 Th 2.68-2.98, 4 Pd 2.81-2.99
Co: 0.3075 0.4117 0.5000  6 Th 2.66-2.89
Co: 0.6925 0.9117 0.5000  6 Th 2.66-2.89
Pd: 0.1834 0.6151 0.1169  1 Pd 2.73, 3 Th 2.80-3.06, 2 Co 2.81-2.99
Pd: 0.8166 0.4982 0.8831  1 Pd 2.73, 3 Th 2.80-3.06, 2 Co 2.81-2.99
Pd: 0.4335 0.1151 0.1169  1 Pd 2.73, 3 Th 2.80-3.06, 2 Co 2.81-2.99
Pd: 0.5665 0.9982 0.8831  1 Pd 2.73, 3 Th 2.80-3.06, 2 Co 2.81-2.99

Results
Total magnetic moment ... 0.00 μB per cell
Space group ... Ima2
Calculated formation energy ... -411 meV/atom

***

No. 7
The following is a DFT calculation (PBE) of crystalline Zr3Co20Si6 at its relaxed geometry.

Cell lengths 7.9602, 7.9602, 7.9602 Å; angles 60.00, 60.00, 60.00 degrees
Last column: nearest neighbours and their distance in Å.
Fractional coordinates of all 29 atoms:
Zr: 0.7500 0.7500 0.7500  4 Co 2.54
Zr: 0.2500 0.2500 0.2500  4 Co 2.54
Zr: 0.0000 0.0000 0.0000  12 Co 2.82, 6 Si 3.06
Co: 0.3805 0.3805 0.8585  3 Si 2.26
Co: 0.1415 0.6195 0.6195  3 Si 2.26
Co: 0.6463 0.0000 0.0000  2 Si 2.26, 1 Co 2.33
Co: 0.6463 0.3537 0.0000  2 Si 2.26, 1 Co 2.33
Co: 0.0000 0.0000 0.6463  2 Si 2.26, 1 Co 2.33
Co: 0.3805 0.8585 0.3805  3 Si 2.26
Co: 0.0000 0.3537 0.6463  2 Si 2.26, 1 Co 2.33
Co: 0.6463 0.0000 0.3537  2 Si 2.26, 1 Co 2.33
Co: 0.0000 0.6463 0.0000  2 Si 2.26, 1 Co 2.33
Co: 0.0000 0.0000 0.3537  2 Si 2.26, 1 Co 2.33
Co: 0.3537 0.0000 0.6463  2 Si 2.26, 1 Co 2.33
Co: 0.0000 0.3537 0.0000  2 Si 2.26, 1 Co 2.33
Co: 0.3537 0.6463 0.0000  2 Si 2.26, 1 Co 2.33
Co: 0.3537 0.0000 0.0000  2 Si 2.26, 1 Co 2.33
Co: 0.3805 0.3805 0.3805  3 Si 2.26
Co: 0.6195 0.6195 0.1415  3 Si 2.26
Co: 0.6195 0.6195 0.6195  3 Si 2.26
Co: 0.6195 0.1415 0.6195  3 Si 2.26
Co: 0.8585 0.3805 0.3805  3 Si 2.26
Co: 0.0000 0.6463 0.3537  2 Si 2.26, 1 Co 2.33
Si: 0.2715 0.7285 0.7285  8 Co 2.26
Si: 0.7285 0.2715 0.2715  8 Co 2.26
Si: 0.2715 0.2715 0.7285  8 Co 2.26
Si: 0.7285 0.2715 0.7285  8 Co 2.26
Si: 0.2715 0.7285 0.2715  8 Co 2.26
Si: 0.7285 0.7285 0.2715  8 Co 2.26

Results
Total magnetic moment ... 17.28 μB per cell
Formation energy without anion corrections ... -0.330 eV per atom
Space group ... Fm-3m

***

No. 8
The following is a DFT calculation (PBE) of crystalline Rb2CaHg at its relaxed geometry.

Cell lengths 12.2799, 12.2799, 9.2416 Å; angles 48.37, 48.37, 90.00 degrees
Last column: nearest neighbours and their distance in Å.
Fractional coordinates of all 8 atoms:
Ca: 0.5000 0.5000 0.0000  2 Hg 3.16
Ca: 0.2500 0.7500 0.5000  2 Hg 3.16
Hg: 0.0000 0.0000 0.0000  2 Ca 3.16
Hg: 0.7500 0.2500 0.5000  2 Ca 3.16
Rb: 0.7383 0.1250 0.2500  2 Hg 3.59
Rb: 0.0117 0.6250 0.2500  2 Hg 3.59
Rb: 0.3750 0.2617 0.7500  2 Hg 3.59
Rb: 0.8750 0.9883 0.7500  2 Hg 3.59

Results
Total magnetic moment ... 0.00 μB per cell
Space group ... I-42d
Calculated formation energy ... 47 meV/atom

***

No. 9
The following is a DFT calculation (PBE) of crystalline PPb3Br at its relaxed geometry.

Cell lengths 5.6117, 5.6117, 5.6117 Å; angles 90.00, 90.00, 90.00 degrees
Last column: nearest neighbours and their distance in Å.
Fractional coordinates of all 5 atoms:
Pb: 0.0000 0.5000 0.0000  2 P 2.81
Pb: 0.0000 0.0000 0.5000  2 P 2.81
Pb: 0.5000 0.0000 0.0000  2 P 2.81
P: 0.0000 0.0000 0.0000  6 Pb 2.81
Br: 0.5000 0.5000 0.5000  12 Pb 3.97

Results
Total magnetic moment ... 0.00 μB per cell
Formation energy without anion corrections ... 0.219 eV per atom
Space group ... Pm-3m

***

No. 10
The following is a DFT calculation (PBE) of crystalline LaAgH3 at its relaxed geometry.

Cell lengths 3.9295, 3.9295, 3.9295 Å; angles 90.00, 90.00, 90.00 degrees
Last column: nearest neighbours and their distance in Å.
Fractional coordinates of all 5 atoms:
H: 0.0000 0.5000 0.0000  2 Ag 1.96
H: 0.0000 0.0000 0.5000  2 Ag 1.96
H: 0.5000 0.0000 0.0000  2 Ag 1.96
Ag: 0.0000 0.0000 0.0000  6 H 1.96
La: 0.5000 0.5000 0.5000  12 H 2.78

Results
Total magnetic moment ... 0.60 μB per cell
Calculated total energy ... -3.7438 eV per atom
Space group ... Pm-3m